No. 1
The following is a DFT calculation (PBE) of an optimized crystal structure of NdZnInS3.

Unit cell a=4.0517 b=14.0362 c=10.9102 alpha=90.00 beta=90.00 gamma=90.00
Closest atoms and distances in Å follow each position.
Space group Cmcm (No. 63)
Asymmetric unit:
Nd: 0.0000 0.0000 0.0000 (multiplicity 4)  6 S 2.83-2.86
Zn: 0.0000 0.4619 0.2500 (multiplicity 4)  4 S 2.32-2.47
In: 0.0000 0.2512 0.7500 (multiplicity 4)  6 S 3.28-3.31, 2 Zn 3.61
S: 0.0000 0.0620 0.2500 (multiplicity 4)  2 Zn 2.47
S: 0.0000 0.3706 0.0723 (multiplicity 8)  1 Zn 2.32

Output
Distance to the lowest polymorph of the same formula in eV per atom: 0.0056
Final energy in eV per atom: -4.649
ρ in g cm⁻³: 4.50
Spin magnetization in μB per cell: 0.01

---

No. 2
The following is a DFT calculation (PBE) of an optimized crystal structure of RbLiRe.

Unit cell a=7.1059 b=7.1059 c=7.1059 alpha=90.00 beta=90.00 gamma=90.00
Closest atoms and distances in Å follow each position.
Space group F-43m (No. 216)
Asymmetric unit:
Rb: 0.0000 0.0000 0.0000 (multiplicity 4)  4 Li 3.08
Li: 0.2500 0.2500 0.2500 (multiplicity 4)  4 Re 3.08, 4 Rb 3.08
Re: 0.0000 0.0000 0.5000 (multiplicity 4)  4 Li 3.08

Output
Distance to the lowest polymorph of the same formula in eV per atom: 0.0000
Final energy in eV per atom: -3.042
ρ in g cm⁻³: 5.16
Spin magnetization in μB per cell: 13.00

---

No. 3
The following is a DFT calculation (PBE) of an optimized crystal structure of Ho3Mg3AgHg2.

Unit cell a=7.7679 b=7.7679 c=4.1268 alpha=90.00 beta=90.00 gamma=120.00
Closest atoms and distances in Å follow each position.
Space group P-62m (No. 189)
Asymmetric unit:
Ho: 0.0000 0.5904 0.0000 (multiplicity 3)  4 Hg 3.13, 1 Ag 3.18, 6 Mg 3.38-3.46
Mg: 0.0000 0.2461 0.5000 (multiplicity 3)  2 Ag 2.81, 2 Hg 2.99
Ag: 0.0000 0.0000 0.0000 (multiplicity 1)  6 Mg 2.81
Hg: 0.3333 0.6667 0.5000 (multiplicity 2)  3 Mg 2.99, 6 Ho 3.13

Output
Final energy in eV per atom: -2.789
ρ in g cm⁻³: 8.29
Spin magnetization in μB per cell: 0.02

---

No. 4
The following is a DFT calculation (PBE) of an optimized crystal structure of LaNdHf.

Unit cell a=7.4990 b=7.4990 c=7.4990 alpha=90.00 beta=90.00 gamma=90.00
Closest atoms and distances in Å follow each position.
Space group F-43m (No. 216)
Asymmetric unit:
La: 0.0000 0.0000 0.0000 (multiplicity 4)  4 Hf 3.25
Nd: 0.0000 0.0000 0.5000 (multiplicity 4)  4 Hf 3.25
Hf: 0.2500 0.2500 0.2500 (multiplicity 4)  4 La 3.25, 4 Nd 3.25

Output
Distance to the lowest polymorph of the same formula in eV per atom: 0.0000
ΔH_f (0 K) in eV per atom: 0.79
Final energy in eV per atom: -5.761
ρ in g cm⁻³: 7.27
Spin magnetization in μB per cell: 6.55

---

No. 5
The following is a DFT calculation (PBE) of an optimized crystal structure of TbZnAs2.

Unit cell a=7.1591 b=7.1591 c=6.8049 alpha=90.00 beta=90.00 gamma=90.00
Closest atoms and distances in Å follow each position.
Space group I-42d (No. 122)
Asymmetric unit:
Tb: 0.0000 0.0000 0.0000 (multiplicity 4)  4 As 2.90
Zn: 0.0000 0.0000 0.5000 (multiplicity 4)  4 As 2.46
As: 0.2046 0.7500 0.6250 (multiplicity 8)  2 Zn 2.46

Output
Final energy in eV per atom: -4.387
ρ in g cm⁻³: 7.13
Spin magnetization in μB per cell: 0.00

---

No. 6
The following is a DFT calculation (PBE) of an optimized crystal structure of NiB4Pd.

Unit cell a=2.8629 b=5.4388 c=6.7447 alpha=90.00 beta=90.00 gamma=90.00
Closest atoms and distances in Å follow each position.
Space group Immm (No. 71)
Asymmetric unit:
Ni: 0.0000 0.0000 0.0000 (multiplicity 2)  12 B 2.31-2.58
B: 0.0000 0.3439 0.2625 (multiplicity 8)  3 B 1.70-1.77
Pd: 0.0000 0.0000 0.5000 (multiplicity 2)  12 B 2.43-2.46

Output
Distance to the lowest polymorph of the same formula in eV per atom: 0.0344
Final energy in eV per atom: -5.983
ρ in g cm⁻³: 6.59
Spin magnetization in μB per cell: 0.03

---

No. 7
The following is a DFT calculation (PBE) of an optimized crystal structure of CsTaAg.

Unit cell a=7.0546 b=7.0546 c=7.0546 alpha=90.00 beta=90.00 gamma=90.00
Closest atoms and distances in Å follow each position.
Space group F-43m (No. 216)
Asymmetric unit:
Cs: 0.0000 0.0000 0.0000 (multiplicity 4)  4 Ta 3.05
Ta: 0.2500 0.2500 0.7500 (multiplicity 4)  4 Cs 3.05, 4 Ag 3.05
Ag: 0.0000 0.0000 0.5000 (multiplicity 4)  4 Ta 3.05

Output
Distance to the lowest polymorph of the same formula in eV per atom: 0.0000
Final energy in eV per atom: -3.202
ρ in g cm⁻³: 7.98
Spin magnetization in μB per cell: 3.11

---

No. 8
The following is a DFT calculation (PBE) of an optimized crystal structure of ZrFeReB.

Unit cell a=5.9929 b=5.9929 c=5.9929 alpha=90.00 beta=90.00 gamma=90.00
Closest atoms and distances in Å follow each position.
Space group F-43m (No. 216)
Asymmetric unit:
Zr: 0.0000 0.0000 0.0000 (multiplicity 4)  4 Fe 2.59, 4 Re 2.59
Fe: 0.2500 0.2500 0.7500 (multiplicity 4)  4 Zr 2.59, 4 B 2.59
Re: 0.2500 0.2500 0.2500 (multiplicity 4)  4 Zr 2.59, 4 B 2.59
B: 0.0000 0.0000 0.5000 (multiplicity 4)  4 Fe 2.59, 4 Re 2.59

Output
Distance to the lowest polymorph of the same formula in eV per atom: 0.0000
Final energy in eV per atom: -8.433
ρ in g cm⁻³: 10.62
Spin magnetization in μB per cell: 7.24

---

No. 9
The following is a DFT calculation (PBE) of an optimized crystal structure of NpFe2.

Unit cell a=6.2536 b=6.2536 c=2.8513 alpha=90.00 beta=90.00 gamma=90.00
Closest atoms and distances in Å follow each position.
Space group P4_2/mnm (No. 136)
Asymmetric unit:
Np: 0.0000 0.0000 0.0000 (multiplicity 2)  4 Fe 2.24
Fe: 0.1952 0.1952 0.5000 (multiplicity 4)  2 Np 2.24

Output
ΔH_f (0 K) in eV per atom: 1.11
Final energy in eV per atom: -8.686
ρ in g cm⁻³: 10.38
Spin magnetization in μB per cell: 0.07

---

No. 10
The following is a DFT calculation (PBE) of an optimized crystal structure of Gd2O.

Unit cell a=5.8400 b=5.8400 c=3.5660 alpha=90.00 beta=90.00 gamma=90.00
Closest atoms and distances in Å follow each position.
Space group P4_2/mnm (No. 136)
Asymmetric unit:
Gd: 0.2097 0.2097 0.0000 (multiplicity 4)  3 O 2.40-2.49
O: 0.0000 0.0000 0.5000 (multiplicity 2)  6 Gd 2.40-2.49

Output
Distance to the lowest polymorph of the same formula in eV per atom: 0.0000
Final energy in eV per atom: -6.562
ρ in g cm⁻³: 9.02
Spin magnetization in μB per cell: 0.20

---

No. 11
The following is a DFT calculation (PBE) of an optimized crystal structure of HoU.

Unit cell a=6.1514 b=6.1514 c=6.1514 alpha=90.00 beta=90.00 gamma=90.00
Closest atoms and distances in Å follow each position.
Space group F-43m (No. 216)
Asymmetric unit:
Ho: 0.0000 0.0000 0.0000 (multiplicity 4)  4 U 2.66
U: 0.2500 0.2500 0.7500 (multiplicity 4)  4 Ho 2.66

Output
Distance to the lowest polymorph of the same formula in eV per atom: 2.0972
ΔH_f (0 K) in eV per atom: 2.53
Final energy in eV per atom: -5.405
ρ in g cm⁻³: 11.50
Spin magnetization in μB per cell: 8.83

---

No. 12
The following is a DFT calculation (PBE) of an optimized crystal structure of Gd2HoIn3Cu3.

Unit cell a=3.8892 b=13.0653 c=7.5468 alpha=90.00 beta=90.00 gamma=90.00
Closest atoms and distances in Å follow each position.
Space group Amm2 (No. 38)
Asymmetric unit:
Gd: 0.0000 0.2049 0.0000 (multiplicity 4)  5 Cu 3.00-3.10, 6 In 3.19-3.34
Ho: 0.0000 0.0000 0.3855 (multiplicity 2)  5 Cu 2.99-3.08, 6 In 3.19-3.32
In: 0.5000 0.0000 0.0509 (multiplicity 2)  4 Cu 2.75-2.84
In: 0.5000 0.1271 0.6662 (multiplicity 4)  4 Cu 2.73-2.88
Cu: 0.0000 0.0000 0.7938 (multiplicity 2)  6 In 2.73-2.75
Cu: 0.5000 0.1653 0.2951 (multiplicity 4)  3 In 2.84-2.88, 2 Ho 2.99, 4 Gd 3.00-3.01

Output
Final energy in eV per atom: -4.111
ρ in g cm⁻³: 8.79
Spin magnetization in μB per cell: 0.01